## AcPm2PaN4 (PBE)

Data for a relaxed AcPm2PaN4 crystal.

Unit cell a=3.6453 b=6.4256 c=6.2585 alpha=109.31 beta=90.00 gamma=90.00
Last column: nearest neighbours and their distance in Å.
Fractional positions:
Ac1 0.5000 0.5000 0.0000  6 N 2.67
Pm1 0.5000 0.0000 0.5000  6 N 2.52-2.53
Pm2 0.0000 0.5000 0.5000  6 N 2.73-2.85
Pa1 0.0000 0.0000 0.0000  6 N 2.33-2.45
N1 0.5000 0.2169 0.2300  2 Pa 2.45, 3 Pm 2.52-2.73, 1 Ac 2.67
N2 0.5000 0.7831 0.7700  2 Pa 2.45, 3 Pm 2.52-2.73, 1 Ac 2.67
N3 0.0000 0.2117 0.7616  1 Pa 2.33, 2 Pm 2.53
N4 0.0000 0.7883 0.2384  1 Pa 2.33, 2 Pm 2.53

## Properties
N(E_F): 3.27 states/eV per cell
final energy: -8.448 eV/atom
SG: P2/m, No. 10